Material: Nb2NiAsAu
Method: DFT, GGA-PBE
State: optimized geometry

Results
- calculated density (g/cm3) = 8.82
- raw total energy (eV per atom) = -6.26
- crystal system = tetragonal
- M_tot (μB per atom) = 0.0000
- formation enthalpy at 0 K (meV per atom) = 507

Unit cell a=4.8015 b=4.8015 c=4.2170 alpha=90.00 beta=90.00 gamma=90.00
Last column: nearest neighbours and their distance in Å.
Space group P4/mmm (No. 123)
Inequivalent atoms, fractional coordinates:
Nb: 0.0000 0.5000 0.0000  2 As 2.40
Ni: 0.0000 0.0000 0.5000  2 As 2.11
As: 0.0000 0.0000 0.0000  2 Ni 2.11
Au: 0.5000 0.5000 0.5000  8 Nb 3.20, 4 Ni 3.40

---

Material: TaGeO
Method: DFT, GGA-PBE
State: optimized geometry

Results
- calculated density (g/cm3) = 9.90
- raw total energy (eV per atom) = -8.19
- uncorrected formation energy (eV/atom) = -1.043
- crystal system = orthorhombic
- M_tot (μB per atom) = 0.0000
- excess energy over the best structure of this formula in the dataset (meV/atom) = 185

Unit cell a=2.8652 b=3.0959 c=10.1984 alpha=90.00 beta=90.00 gamma=90.00
Last column: nearest neighbours and their distance in Å.
Space group Pmm2 (No. 25)
Inequivalent atoms, fractional coordinates:
Ta: 0.0000 0.0000 0.0000  5 O 2.04-2.13
Ta: 0.5000 0.0000 0.3485  2 O 2.08
Ge: 0.0000 0.5000 0.5214  1 Ge 2.49, 4 Ta 2.75
Ge: 0.0000 0.5000 0.7656  1 Ge 2.49
O: 0.0000 0.0000 0.2002  3 Ta 2.04-2.08
O: 0.5000 0.5000 0.0297  4 Ta 2.13